Entry 1:
TbY14Er | Alexandria | PBE-GGA | optimized geometry; density of states at the Fermi level = 21.08 states/eV/f.u.; calculated total energy = -0.4564 Ry/atom; space group = No. 123
1.0
7.0737 0.9491 0.0000
-0.9490 7.0737 0.0000
0.0000 0.0000 10.0649
Y Er Tb
14 1 1
Cartesian
0.0514 6.3099 7.5584
2.5344 1.2406 5.0325
4.0676 3.2439 2.5066
2.0589 4.7774 5.0325
5.5964 5.2516 0.0000
5.5959 5.2509 5.0325
3.5922 6.7847 7.5579
3.5922 6.7847 2.5070
0.0514 6.3099 2.5065
2.5339 1.2400 0.0000
0.5267 2.7692 7.5579
6.0714 1.7142 5.0325
0.5267 2.7692 2.5070
4.0676 3.2439 7.5583
6.0705 1.7149 0.0000
2.0597 4.7768 0.0000


Entry 2:
Tb3Y4Er | Alexandria | PBE-GGA | optimized geometry; ΔE to the lowest computed polymorph = 0.0000 eV/atom; density of states at the Fermi level = 13.85 states/eV/f.u.; space group = No. 31
1.0
-5.8019 -0.2644 -2.4418
-0.0387 -7.2355 0.8755
-4.3948 1.2703 10.3047
Tb Y Er
6 8 2
Cartesian
-6.8047 -4.4539 0.7308
-3.8942 -2.5321 1.7353
-3.0777 -2.1249 5.1172
-6.0916 -1.8970 6.8875
-3.7908 -4.6866 -1.0390
-9.0021 -3.8187 5.8833
-3.7529 -1.0824 -1.4671
-5.9548 -0.4477 3.6834
-6.8027 -0.8552 0.2805
-3.9361 -6.1326 2.1688
-9.0056 -0.2185 5.4455
-0.8854 -6.3624 0.4067
-3.0783 -5.7273 5.5610
-6.1281 -5.4990 7.3085
-0.8798 -2.7594 -0.0351
-5.9878 -4.0520 4.1136


Entry 3:
Tb3YEr | Alexandria | PBE-GGA | optimized geometry; ΔE to the lowest computed polymorph = 0.0364 eV/atom; density of states at the Fermi level = 8.84 states/eV/f.u.; space group = No. 15
1.0
6.5005 0.4829 0.5997
0.8995 9.8734 1.7909
0.8995 -0.3565 10.0282
Tb Er Y
12 4 4
Cartesian
5.6622 8.7204 9.2295
3.6397 2.1241 6.5408
2.6373 1.2794 3.1893
5.6613 6.0443 11.3755
1.4096 3.8213 8.6485
6.8899 6.1785 3.7703
4.6599 7.8757 5.8781
5.8875 3.0844 2.2302
2.6383 3.9555 1.0433
2.4110 9.5829 8.0319
2.4120 6.9154 10.1886
5.8885 0.4170 4.3869
2.5246 0.5361 9.5566
2.5246 8.1051 3.4619
5.7749 1.8947 8.9569
5.7749 9.4638 2.8622
6.8980 3.4864 5.9174
1.4015 6.5134 6.5014
4.6518 5.2038 8.0502
3.6477 4.7961 4.3686


Entry 4:
Tb6YEr6 | Alexandria | PBE-GGA | optimized geometry; density of states at the Fermi level = 23.82 states/eV/f.u.; calculated total energy = -0.3282 Ry/atom; space group = No. 191
1.0
6.6397 -0.0005 0.0000
-3.3195 5.7503 0.0000
0.0000 0.0000 11.2919
Er Tb Y
6 6 1
Cartesian
-1.6597 2.8752 2.7519
3.3198 -0.0003 8.5399
1.6601 2.8749 8.5400
-1.6597 2.8752 8.5399
1.6601 2.8749 2.7518
3.3198 -0.0003 2.7519
3.3198 1.9165 0.0000
0.0000 0.0000 7.4049
3.3198 1.9165 5.6459
0.0000 0.0000 3.8870
0.0004 3.8333 5.6459
0.0003 3.8333 0.0000
0.0000 0.0000 0.0000